Compound: Ho2Sc2O5
Source: the Open Quantum Materials Database
Functional: GGA-PBE
Structure: relaxed

Structure (POSCAR):
```
Ho2Sc2O5
1.0
3.7625 0.0000 0.0000
0.0000 3.7625 0.0000
0.0000 0.0000 9.2986
Ho Sc O
2 2 5
Direct
0.0000 0.0000 0.2413
0.0000 0.0000 0.7587
0.5000 0.5000 0.0000
0.5000 0.5000 0.5000
0.0000 0.0000 0.5000
0.0000 0.5000 0.1369
0.0000 0.5000 0.8631
0.5000 0.0000 0.1369
0.5000 0.0000 0.8631
```

## Properties
- Calculated volume: 14.626 Å³/atom
- Density: 6.30 g/cm3
- Total DFT energy (no corrections): -71.36 eV per cell
- M_tot: 0.206 μB per atom
- Polymorph energy (0 for the lowest one): 110 meV/atom